Material: HgP3O9
Method: DFT, GGA-PBE
State: optimized geometry

Computed properties:
Symmetry: C222_1 (20)

Unit cell a=7.066 b=7.066 c=7.281 alpha=90.00 beta=90.00 gamma=91.50
Atoms (fractional coordinates):
O1 0.260 0.316 0.829
P1 0.792 0.792 0.500
O2 0.223 0.987 0.946
O3 0.683 0.388 0.974
P2 0.208 0.208 0.000
O4 0.156 0.844 0.250
O5 0.035 0.676 0.967
O6 0.388 0.683 0.026
P3 0.795 0.215 0.543
O7 0.612 0.317 0.526
O8 0.676 0.035 0.033
O9 0.740 0.684 0.329
O10 0.684 0.740 0.671
O11 0.987 0.223 0.054
Hg1 0.285 0.285 0.500
P4 0.205 0.785 0.043
O12 0.316 0.260 0.171
O13 0.844 0.156 0.750
O14 0.777 0.013 0.446
O15 0.965 0.324 0.467
O16 0.324 0.965 0.533
O17 0.013 0.777 0.554
P5 0.215 0.795 0.457
O18 0.317 0.612 0.474
Hg2 0.715 0.715 0.000
P6 0.785 0.205 0.957

***

Material: HgPO4
Method: DFT, GGA-PBE
State: optimized geometry

Computed properties:
Symmetry: P-42c (112)
Energy above the lowest structure with this stoichiometry in eV/atom: 0.046

Unit cell a=4.823 b=4.823 c=9.038 alpha=90.00 beta=90.00 gamma=90.00
Atoms (fractional coordinates):
P1 0.500 0.000 0.750
O1 0.316 0.810 0.652
Hg1 0.000 0.000 0.000
O2 0.316 0.190 0.848
O3 0.810 0.684 0.348
Hg2 0.000 0.000 0.500
O4 0.810 0.316 0.152
O5 0.684 0.810 0.848
O6 0.684 0.190 0.652
O7 0.190 0.684 0.152
O8 0.190 0.316 0.348
P2 0.000 0.500 0.250

***

Material: HgPO2
Method: DFT, GGA-PBE
State: optimized geometry

Computed properties:
Symmetry: Fd-3m (227)
Energy above the lowest structure with this stoichiometry in eV/atom: 0.000

Unit cell a=5.673 b=5.673 c=5.674 alpha=60.01 beta=60.01 gamma=90.00
Atoms (fractional coordinates):
O1 0.375 0.625 0.250
O2 0.875 0.625 0.750
Hg1 0.750 0.250 0.500
O3 0.375 0.125 0.250
O4 0.375 0.625 0.750
P1 0.500 0.500 0.000
Hg2 0.000 0.000 0.000
P2 0.250 0.750 0.500

***

Material: Hg3P2O8
Method: DFT, GGA-PBE
State: optimized geometry

Computed properties:
Symmetry: P2_1/c (14)

Unit cell a=6.528 b=10.122 c=11.689 alpha=90.00 beta=90.00 gamma=99.41
Atoms (fractional coordinates):
O1 0.195 0.084 0.060
O2 0.681 0.501 0.686
O3 0.366 0.223 0.217
O4 0.018 0.716 0.093
Hg1 0.680 0.039 0.619
O5 0.305 0.916 0.560
O6 0.903 0.862 0.561
Hg2 0.920 0.653 0.829
O7 0.866 0.223 0.283
Hg3 0.820 0.961 0.119
O8 0.597 0.138 0.061
O9 0.982 0.284 0.907
O10 0.150 0.702 0.363
Hg4 0.580 0.347 0.329
Hg5 0.832 0.695 0.400
O11 0.319 0.499 0.314
P1 0.687 0.389 0.599
O12 0.414 0.977 0.206
O13 0.181 0.501 0.814
O14 0.350 0.298 0.863
P2 0.313 0.611 0.401
O15 0.134 0.777 0.717
O16 0.482 0.284 0.593
Hg6 0.320 0.961 0.381
O17 0.403 0.862 0.939
P3 0.813 0.611 0.099
O18 0.695 0.084 0.440
P4 0.187 0.389 0.901
O19 0.805 0.916 0.940
O20 0.760 0.551 0.977
Hg7 0.180 0.039 0.881
P5 0.600 0.894 0.867
O21 0.086 0.023 0.706
P6 0.100 0.894 0.633
O22 0.819 0.499 0.186
Hg8 0.332 0.695 0.100
P7 0.400 0.106 0.133
Hg9 0.668 0.305 0.900
O23 0.240 0.449 0.023
Hg10 0.420 0.653 0.671
O24 0.850 0.298 0.637
Hg11 0.080 0.347 0.171
O25 0.586 0.023 0.794
O26 0.650 0.702 0.137
O27 0.518 0.716 0.407
P8 0.900 0.106 0.367
O28 0.260 0.551 0.523
O29 0.634 0.777 0.783
Hg12 0.168 0.305 0.600
O30 0.097 0.138 0.439
O31 0.740 0.449 0.477
O32 0.914 0.977 0.294

***

Material: PaHg2PO6
Method: DFT, GGA-PBE
State: optimized geometry

Computed properties:
Symmetry: Immm (71)

Unit cell a=5.608 b=5.608 c=5.604 alpha=60.07 beta=60.07 gamma=90.03
Atoms (fractional coordinates):
O1 0.280 0.280 0.440
O2 0.280 0.720 0.000
O3 0.720 0.280 0.000
Hg1 0.250 0.750 0.500
P1 0.500 0.500 0.000
O4 0.720 0.720 0.560
Pa1 0.000 0.000 0.000
Hg2 0.750 0.250 0.500
O5 0.280 0.280 0.999
O6 0.720 0.720 0.001

***

Material: HgPPbO4
Method: DFT, GGA-PBE
State: optimized geometry

Computed properties:
Symmetry: C2/m (12)

Unit cell a=6.769 b=6.769 c=7.243 alpha=80.84 beta=80.84 gamma=56.30
Atoms (fractional coordinates):
Hg1 0.892 0.892 0.503
P1 0.641 0.641 0.741
Pb1 0.316 0.316 0.844
Pb2 0.684 0.684 0.156
Hg2 0.108 0.108 0.497
O1 0.484 0.484 0.278
O2 0.479 0.871 0.849
O3 0.711 0.711 0.531
O4 0.521 0.129 0.151
P2 0.359 0.359 0.259
O5 0.871 0.479 0.849
O6 0.516 0.516 0.722
O7 0.129 0.521 0.151
O8 0.289 0.289 0.469

***

Number 1: VASP energy -165.1 eV for the cell shown. Number 2: VASP energy -65.3 eV for the cell shown. Number 3: VASP energy -37.5 eV for the cell shown. Number 4: VASP energy -276.8 eV for the cell shown. Number 5: VASP energy -62.1 eV for the cell shown. Number 6: VASP energy -80.5 eV for the cell shown.